# 1
Entry from Alexandria via LeMat-Bulk: a crystal of Ti2ZnPt2 relaxed with PBEsol (SCAN).

Lattice parameters (Å, degrees): 3.003 7.262 7.262 90.00 90.00 90.00
Fractional coordinates of all 10 atoms:
Ti 0.500 0.668 0.832
Ti 0.500 0.832 0.332
Ti 0.500 0.332 0.168
Ti 0.500 0.168 0.668
Pt 0.000 0.367 0.867
Pt 0.000 0.867 0.633
Pt 0.000 0.133 0.367
Pt 0.000 0.633 0.133
Zn 0.000 0.500 0.500
Zn 0.000 0.000 0.000

Its total energy is -190.5 eV/f.u. The calculation puts the energy of formation at -0.907 eV/atom.

***

# 2
Entry from Alexandria via LeMat-Bulk: a crystal of Al2Ni21B6 relaxed with PBEsol (SCAN).

Lattice parameters (Å, degrees): 7.306 7.306 7.306 60.00 60.00 60.00
Fractional coordinates of all 29 atoms:
B 0.273 0.273 0.727
B 0.727 0.273 0.273
B 0.273 0.727 0.727
B 0.273 0.727 0.273
B 0.727 0.273 0.727
B 0.727 0.727 0.273
Ni 0.000 0.000 0.338
Ni 0.617 0.617 0.148
Ni 0.383 0.383 0.852
Ni 0.000 0.338 0.000
Ni 0.383 0.383 0.383
Ni 0.617 0.617 0.617
Ni 0.383 0.852 0.383
Ni 0.338 0.000 0.000
Ni 0.338 0.000 0.662
Ni 0.000 0.662 0.338
Ni 0.662 0.000 0.338
Ni 0.338 0.662 0.000
Ni 0.000 0.000 0.662
Ni 0.148 0.617 0.617
Ni 0.662 0.000 0.000
Ni 0.617 0.148 0.617
Ni 0.000 0.662 0.000
Ni 0.000 0.338 0.662
Ni 0.662 0.338 0.000
Ni 0.852 0.383 0.383
Ni 0.000 0.000 0.000
Al 0.250 0.250 0.250
Al 0.750 0.750 0.750

Its total energy is -409.9 eV/f.u. The calculation puts the energy of formation at -0.351 eV/atom.

***

# 3
Entry from Alexandria via LeMat-Bulk: a crystal of KCo2Sb relaxed with PBEsol (SCAN).

Lattice parameters (Å, degrees): 4.503 4.503 4.503 60.00 60.00 60.00
Site moments in Bohr magnetons follow the coordinates.
Fractional coordinates of all 4 atoms:
Co 0.750 0.750 0.750  -1.55
Co 0.250 0.250 0.250  -1.55
K 0.500 0.500 0.500  0.03
Sb 0.000 0.000 0.000  0.00

The value obtained for the formation energy (no corrections) is 3.377 eV/f.u. Its total energy is -76.8 eV/f.u. The value obtained for the energy above the most stable polymorph in this dataset is 506 meV per atom.

***

# 4
Entry from Alexandria via LeMat-Bulk: a crystal of InPt2Br relaxed with PBEsol (SCAN).

Lattice parameters (Å, degrees): 3.352 3.352 6.578 90.00 90.00 90.00
Fractional coordinates of all 4 atoms:
Pt 0.000 0.000 0.712
Pt 0.000 0.000 0.288
In 0.500 0.500 0.500
Br 0.500 0.500 0.000

The value obtained for the formation energy (no corrections) is 0.367 eV/f.u. Its total energy is -192.9 eV/f.u.

***

# 5
Entry from Alexandria via LeMat-Bulk: a crystal of Nd2CuO4 relaxed with PBEsol (SCAN).

Lattice parameters (Å, degrees): 3.917 3.917 6.679 107.01 107.01 90.00
Fractional coordinates of all 7 atoms:
O 0.750 0.250 0.500
O 0.000 0.500 0.000
O 0.250 0.750 0.500
O 0.500 0.000 0.000
Cu 0.000 0.000 0.000
Nd 0.351 0.351 0.702
Nd 0.649 0.649 0.298

The value obtained for the formation energy (no corrections) is -20.147 eV/f.u. Its total energy is -147.4 eV/f.u. The value obtained for the energy above the most stable polymorph in this dataset is 0 meV per atom.

***

# 6
Entry from Alexandria via LeMat-Bulk: a crystal of YHO2F relaxed with PBEsol (SCAN).

Lattice parameters (Å, degrees): 4.346 4.429 4.429 90.00 90.00 90.00
Site moments in Bohr magnetons follow the coordinates.
Fractional coordinates of all 5 atoms:
O 0.000 0.500 0.000  0.78
O 0.000 0.000 0.500  0.78
F 0.500 0.000 0.000  0.02
Y 0.000 0.000 0.000  -0.06
H 0.500 0.500 0.500  0.36

Its total energy is -54.3 eV/f.u.

***

# 7
Entry from Alexandria via LeMat-Bulk: a crystal of SiHgRh2 relaxed with PBEsol (SCAN).

Lattice parameters (Å, degrees): 2.870 2.870 7.025 90.00 90.00 90.00
Fractional coordinates of all 4 atoms:
Rh 0.000 0.000 0.198
Rh 0.000 0.000 0.802
Hg 0.500 0.500 0.500
Si 0.500 0.500 0.000

The value obtained for the formation energy (no corrections) is -2.235 eV/f.u. Its total energy is -148.0 eV/f.u. The value obtained for the energy above the most stable polymorph in this dataset is 0 meV per atom.

***

# 8
Entry from Alexandria via LeMat-Bulk: a crystal of Li3ZnAg relaxed with PBEsol (SCAN).

Lattice parameters (Å, degrees): 4.770 4.770 4.770 90.00 90.00 90.00
Fractional coordinates of all 5 atoms:
Zn 0.500 0.500 0.500
Li 0.500 0.000 0.000
Li 0.000 0.000 0.500
Li 0.000 0.500 0.000
Ag 0.000 0.000 0.000

Its total energy is -50.9 eV/f.u. The calculation puts the energy of formation at 0.240 eV/atom. The value obtained for the energy above the most stable polymorph in this dataset is 0 meV per atom.

***

# 9
Entry from Alexandria via LeMat-Bulk: a crystal of Co2NiMo relaxed with PBEsol (SCAN).

Lattice parameters (Å, degrees): 4.014 4.014 4.014 60.00 60.00 60.00
Site moments in Bohr magnetons follow the coordinates.
Fractional coordinates of all 4 atoms:
Co 0.250 0.250 0.250  1.74
Co 0.000 0.000 0.000  1.71
Mo 0.500 0.500 0.500  -0.04
Ni 0.750 0.750 0.750  0.10

Its total energy is -84.9 eV/f.u. The calculation puts the energy of formation at 0.203 eV/atom. The value obtained for the energy above the most stable polymorph in this dataset is 113 meV per atom.

***

# 10
Entry from Alexandria via LeMat-Bulk: a crystal of Hf2BiSb relaxed with PBEsol (SCAN).

Lattice parameters (Å, degrees): 5.005 5.005 5.005 60.00 60.00 60.00
Fractional coordinates of all 4 atoms:
Sb 0.000 0.000 0.000
Hf 0.750 0.750 0.750
Hf 0.250 0.250 0.250
Bi 0.500 0.500 0.500

The value obtained for the formation energy (no corrections) is -0.690 eV/f.u. Its total energy is -241.9 eV/f.u.

***

# 11
Entry from Alexandria via LeMat-Bulk: a crystal of ScSiOF2 relaxed with PBEsol (SCAN).

Lattice parameters (Å, degrees): 4.060 4.086 4.086 90.00 90.00 90.00
Site moments in Bohr magnetons follow the coordinates.
Fractional coordinates of all 5 atoms:
O 0.500 0.000 0.000  -0.01
Si 0.500 0.500 0.500  0.28
F 0.000 0.500 0.000  0.03
F 0.000 0.000 0.500  0.03
Sc 0.000 0.000 0.000  0.01

The value obtained for the formation energy (no corrections) is -11.267 eV/f.u. Its total energy is -48.8 eV/f.u.

***

# 12
Entry from Alexandria via LeMat-Bulk: a crystal of ZrNi2Ir relaxed with PBEsol (SCAN).

Lattice parameters (Å, degrees): 4.303 4.303 4.303 60.00 60.00 60.00
Site moments in Bohr magnetons follow the coordinates.
Fractional coordinates of all 4 atoms:
Ni 0.000 0.000 0.000  -0.18
Ni 0.750 0.750 0.750  0.84
Ir 0.500 0.500 0.500  0.09
Zr 0.250 0.250 0.250  0.04

Its total energy is -135.4 eV/f.u. The calculation puts the energy of formation at -0.326 eV/atom.

***

# 13
Entry from Alexandria via LeMat-Bulk: a crystal of KLiHg relaxed with PBEsol (SCAN).

Lattice parameters (Å, degrees): 3.753 3.753 6.722 106.21 106.21 90.00
Fractional coordinates of all 3 atoms:
K 0.342 0.342 0.684
Hg 0.048 0.048 0.096
Li 0.610 0.610 0.220

Its total energy is -79.6 eV/f.u. The calculation puts the energy of formation at -0.242 eV/atom.

***

# 14
Entry from Alexandria via LeMat-Bulk: a crystal of Y2FeRh relaxed with PBEsol (SCAN).

Lattice parameters (Å, degrees): 3.169 4.477 5.564 90.00 90.00 90.00
Site moments in Bohr magnetons follow the coordinates.
Fractional coordinates of all 4 atoms:
Rh 0.500 0.500 0.801  0.07
Y 0.500 0.500 0.318  -0.35
Y 0.000 0.000 0.932  -0.29
Fe 0.000 0.000 0.449  2.57

Its total energy is -107.8 eV/f.u. The calculation puts the energy of formation at -0.055 eV/atom.

***

# 15
Entry from Alexandria via LeMat-Bulk: a crystal of Cu2Au3 relaxed with PBEsol (SCAN).

Lattice parameters (Å, degrees): 4.219 4.219 5.177 90.00 90.00 120.00
Fractional coordinates of all 5 atoms:
Cu 0.333 0.667 0.843
Cu 0.667 0.333 0.157
Au 0.000 0.000 0.000
Au 0.667 0.333 0.651
Au 0.333 0.667 0.349

Its total energy is -237.8 eV/f.u. The calculation puts the energy of formation at 0.006 eV/atom. The value obtained for the energy above the most stable polymorph in this dataset is 78 meV per atom.

***

# 16
Entry from Alexandria via LeMat-Bulk: a crystal of HgHN2O relaxed with PBEsol (SCAN).

Lattice parameters (Å, degrees): 3.016 3.016 5.783 90.00 90.00 90.00
Fractional coordinates of all 5 atoms:
N 0.500 0.000 0.000
N 0.000 0.500 0.000
O 0.000 0.000 0.500
Hg 0.500 0.500 0.500
H 0.000 0.000 0.000

Its total energy is -87.4 eV/f.u.

***

# 17
Entry from Alexandria via LeMat-Bulk: a crystal of CrCdIr relaxed with PBEsol (SCAN).

Lattice parameters (Å, degrees): 2.691 2.691 7.051 96.13 96.13 116.12
Fractional coordinates of all 3 atoms:
Ir 0.680 0.680 0.360
Cd 0.997 0.997 0.993
Cr 0.324 0.324 0.647

Its total energy is -118.8 eV/f.u. The calculation puts the energy of formation at 0.364 eV/atom. The value obtained for the energy above the most stable polymorph in this dataset is 339 meV per atom.

***

# 18
Entry from Alexandria via LeMat-Bulk: a crystal of Hf2ScNb relaxed with PBEsol (SCAN).

Lattice parameters (Å, degrees): 4.860 4.860 4.860 60.00 60.00 60.00
Fractional coordinates of all 4 atoms:
Nb 0.500 0.500 0.500
Hf 0.250 0.250 0.250
Hf 0.750 0.750 0.750
Sc 0.000 0.000 0.000

Its total energy is -172.2 eV/f.u. The calculation puts the energy of formation at 0.117 eV/atom.

***

# 19
Entry from Alexandria via LeMat-Bulk: a crystal of RbZn2MoPb relaxed with PBEsol (SCAN).

Lattice parameters (Å, degrees): 5.483 5.483 6.209 90.00 90.00 90.00
Site moments in Bohr magnetons follow the coordinates.
Fractional coordinates of all 5 atoms:
Zn 0.000 0.500 0.000  -0.01
Zn 0.500 0.000 0.000  -0.01
Rb 0.000 0.000 0.000  -0.07
Pb 0.000 0.000 0.500  -0.38
Mo 0.500 0.500 0.500  4.15

Its total energy is -149.0 eV/f.u. The calculation puts the energy of formation at 1.882 eV/atom.

***

# 20
Entry from Alexandria via LeMat-Bulk: a crystal of ZrPb3Br relaxed with PBEsol (SCAN).

Lattice parameters (Å, degrees): 5.625 5.625 5.625 90.00 90.00 90.00
Fractional coordinates of all 5 atoms:
Br 0.500 0.500 0.500
Zr 0.000 0.000 0.000
Pb 0.000 0.000 0.500
Pb 0.000 0.500 0.000
Pb 0.500 0.000 0.000

The value obtained for the formation energy (no corrections) is 0.663 eV/f.u. Its total energy is -276.8 eV/f.u.

***

# 21
Entry from Alexandria via LeMat-Bulk: a crystal of Cu4As2O9 relaxed with PBEsol (SCAN).

Lattice parameters (Å, degrees): 6.347 7.673 8.269 98.86 112.09 98.10
Site moments in Bohr magnetons follow the coordinates.
Fractional coordinates of all 30 atoms:
Cu 0.613 0.385 0.739  0.69
Cu 0.907 0.645 0.267  0.69
Cu 0.093 0.355 0.733  0.69
Cu 0.855 0.119 0.915  -0.68
Cu 0.652 0.167 0.450  0.67
Cu 0.145 0.881 0.085  -0.68
Cu 0.387 0.615 0.261  0.69
Cu 0.348 0.833 0.550  0.67
O 0.201 0.783 0.292  0.22
O 0.377 0.179 0.491  0.08
O 0.658 0.277 0.956  0.00
O 0.504 0.886 0.808  0.07
O 0.965 0.228 0.476  0.09
O 0.164 0.445 0.311  0.04
O 0.836 0.555 0.689  0.04
O 0.987 0.066 0.153  -0.07
O 0.623 0.821 0.509  0.08
O 0.013 0.934 0.847  -0.07
O 0.035 0.772 0.524  0.09
O 0.342 0.723 0.044  0.00
O 0.799 0.217 0.708  0.22
O 0.779 0.691 0.030  0.05
O 0.372 0.510 0.747  0.09
O 0.496 0.114 0.192  0.07
O 0.628 0.490 0.253  0.09
O 0.221 0.309 0.970  0.05
As 0.128 0.234 0.350  0.01
As 0.502 0.712 0.915  0.01
As 0.498 0.288 0.085  0.01
As 0.872 0.766 0.650  0.01

The value obtained for the formation energy (no corrections) is -15.761 eV/f.u. Its total energy is -173.0 eV/f.u. The value obtained for the energy above the most stable polymorph in this dataset is 0 meV per atom.

***

# 22
Entry from Alexandria via LeMat-Bulk: a crystal of FeNiPt4 relaxed with PBEsol (SCAN).

Lattice parameters (Å, degrees): 5.107 5.107 5.107 60.00 60.00 60.00
Site moments in Bohr magnetons follow the coordinates.
Fractional coordinates of all 6 atoms:
Ni 0.000 0.000 0.000  1.25
Fe 0.750 0.750 0.750  3.58
Pt 0.375 0.375 0.375  0.10
Pt 0.875 0.375 0.375  0.10
Pt 0.375 0.375 0.875  0.10
Pt 0.375 0.875 0.375  0.10

Its total energy is -314.0 eV/f.u. The calculation puts the energy of formation at 0.176 eV/atom.

***

# 23
Entry from Alexandria via LeMat-Bulk: a crystal of K2YSi relaxed with PBEsol (SCAN).

Lattice parameters (Å, degrees): 3.647 5.843 6.109 90.00 90.00 90.00
Site moments in Bohr magnetons follow the coordinates.
Fractional coordinates of all 4 atoms:
K 0.000 0.000 0.770  0.03
K 0.000 0.000 0.230  0.03
Y 0.500 0.500 0.500  0.39
Si 0.500 0.500 0.000  -0.01

The value obtained for the formation energy (no corrections) is 1.901 eV/f.u. Its total energy is -52.6 eV/f.u.

***

# 24
Entry from Alexandria via LeMat-Bulk: a crystal of LaMg2Mo relaxed with PBEsol (SCAN).

Lattice parameters (Å, degrees): 3.017 5.556 5.659 105.52 90.00 105.76
Fractional coordinates of all 4 atoms:
Mg 0.782 0.565 0.212
Mg 0.018 0.036 0.055
Mo 0.475 0.951 0.562
La 0.224 0.448 0.671

Its total energy is -86.3 eV/f.u. The calculation puts the energy of formation at 0.417 eV/atom. The value obtained for the energy above the most stable polymorph in this dataset is 72 meV per atom.

***

# 25
Entry from Alexandria via LeMat-Bulk: a crystal of MgCd2Ag relaxed with PBEsol (SCAN).

Lattice parameters (Å, degrees): 3.363 3.689 6.180 90.00 90.00 90.00
Fractional coordinates of all 4 atoms:
Ag 0.500 0.500 0.743
Mg 0.000 0.000 0.514
Cd 0.500 0.500 0.253
Cd 0.000 0.000 0.990

Its total energy is -97.7 eV/f.u. The calculation puts the energy of formation at -0.125 eV/atom. The value obtained for the energy above the most stable polymorph in this dataset is 2 meV per atom.

***

# 26
Entry from Alexandria via LeMat-Bulk: a crystal of CaSnAsPb2 relaxed with PBEsol (SCAN).

Lattice parameters (Å, degrees): 5.590 5.662 5.662 90.00 90.00 90.00
Fractional coordinates of all 5 atoms:
Pb 0.000 0.500 0.000
Pb 0.000 0.000 0.500
Sn 0.500 0.000 0.000
As 0.500 0.500 0.500
Ca 0.000 0.000 0.000

Its total energy is -212.5 eV/f.u. The calculation puts the energy of formation at 0.959 eV/atom.